First-principles (GGA-PBE) data for a relaxed structure of AsCICl2, as listed in Alexandria.

It has space group P4/mmm (No. 123), with a = 4.8523 Å, b = 4.8523 Å, c = 5.9609 Å, α = 90.00°, β = 90.00° and γ = 90.00°. The distinct sites, in fractional coordinates, are As at (0.0000, 0.0000, 0.0000), C at (0.5000, 0.5000, 0.5000), I at (0.0000, 0.0000, 0.5000) and Cl at (0.0000, 0.5000, 0.0000).

The calculation puts the total magnetic moment at 1.78 μB/f.u. For the formation energy without anion corrections, the calculation gives 1.197 eV/atom.